Density functional theory data (PBE-GGA) for NaMg2ScSe after structural relaxation.

The space group is P4/mmm (No. 123) and the conventional cell measures 5.281, 5.281 and 5.082 Å, with angles of 90.00, 90.00 and 90.00 degrees. The asymmetric unit holds Na at (0.000, 0.000, 0.000), Mg at (0.000, 0.500, 0.500), Sc at (0.500, 0.500, 0.000) and Se at (0.500, 0.500, 0.500).

The calculation puts the magnetization at 0.0 μB per cell. The calculation puts the uncorrected formation energy at -0.45 eV per formula unit. The density of states at the Fermi level comes out at 2.89 states/eV per cell.

=====

Density functional theory data (PBE-GGA) for Na3MgSc2Se6 after structural relaxation.

The space group is C2/m (No. 12) and the conventional cell measures 6.782, 11.746 and 7.391 Å, with angles of 90.00, 107.81 and 90.00 degrees. The asymmetric unit holds Na at (0.000, 0.000, 0.000), Na at (0.000, 0.334, 0.000), Mg at (0.000, 0.500, 0.500), Sc at (0.000, 0.167, 0.500), Se at (0.236, 0.000, 0.719) and Se at (0.242, 0.331, 0.719).

The calculation puts the magnetization at 0.0 μB per cell. The calculation puts the uncorrected formation energy at -16.37 eV per formula unit. The density of states at the Fermi level comes out at 12.22 states/eV per cell.

=====

Density functional theory data (PBE-GGA) for NaMgSc4Se8 after structural relaxation.

The space group is R3m (No. 160, hexagonal axes) and the conventional cell measures 7.9493, 7.9493 and 20.2302 Å, with angles of 90.00, 90.00 and 120.00 degrees. The asymmetric unit holds Na at (0.0000, 0.0000, 0.0000), Mg at (0.0000, 0.0000, 0.6254), Sc at (0.0000, 0.0000, 0.2516), Sc at (0.1724, 0.3447, 0.4592), Se at (0.0000, 0.0000, 0.3826), Se at (0.0000, 0.0000, 0.8654), Se at (0.0381, 0.5191, 0.3808) and Se at (0.1755, 0.3510, 0.2052).

The calculation puts the magnetization at 0.0 μB per cell. The calculation puts the uncorrected formation energy at -19.66 eV per formula unit. The density of states at the Fermi level comes out at 20.18 states/eV per cell.

=====

Density functional theory data (PBE-GGA) for NaMgSc2Se4 after structural relaxation.

The space group is I-4m2 (No. 119) and the conventional cell measures 5.559, 5.559 and 11.168 Å, with angles of 90.00, 90.00 and 90.00 degrees. The asymmetric unit holds Na at (0.000, 0.000, 0.000), Mg at (0.000, 0.500, 0.750), Sc at (0.000, 0.000, 0.500), Sc at (0.000, 0.500, 0.250), Se at (0.000, 0.000, 0.257) and Se at (0.000, 0.500, 0.000).

The calculation puts the magnetization at 0.0 μB per cell. The calculation puts the uncorrected formation energy at -11.44 eV per formula unit. The density of states at the Fermi level comes out at 8.29 states/eV per cell.

=====

Density functional theory data (PBE-GGA) for NaMgScSn after structural relaxation.

The space group is F-43m (No. 216) and the conventional cell measures 7.230, 7.230 and 7.230 Å, with angles of 90.00, 90.00 and 90.00 degrees. The asymmetric unit holds Na at (0.000, 0.000, 0.000), Mg at (0.250, 0.250, 0.250), Sc at (0.000, 0.000, 0.500) and Sn at (0.250, 0.250, 0.750).

The calculation puts the magnetization at 0.0 μB per cell. The formation energy is -0.1736 eV per atom. The density of states at the Fermi level comes out at 6.08 states/eV per cell.

=====

Density functional theory data (PBE-GGA) for NaMgScSn2 after structural relaxation.

The space group is P4/mmm (No. 123) and the conventional cell measures 5.519, 5.519 and 5.712 Å, with angles of 90.00, 90.00 and 90.00 degrees. The asymmetric unit holds Na at (0.000, 0.000, 0.000), Mg at (0.500, 0.500, 0.000), Sc at (0.500, 0.500, 0.500) and Sn at (0.000, 0.500, 0.500).

The calculation puts the magnetization at 0.0 μB per cell. The formation energy is 0.2218 eV per atom. The density of states at the Fermi level comes out at 3.62 states/eV per cell.